The following is a GGA-PBE calculation of a geometry-optimized KLi2ReNi structure, from Alexandria.

Structure (extended XYZ):
```
5
Lattice="4.0708 0.0000 0.0000 0.0000 4.8864 0.0000 0.0000 0.0000 4.0708" Properties=species:S:1:pos:R:3 pbc="T T T"
Li 2.0354 0.0000 0.0000
Li 0.0000 0.0000 2.0354
Ni 0.0000 2.4432 0.0000
Re 2.0354 2.4432 2.0354
K 0.0000 0.0000 0.0000
```

Summary:
* E_tot: -0.1063 hartree per atom
* formation enthalpy at 0 K: 1737 meV per atom
* space-group type: P4/mmm (123)